Entry 1:
This record from Alexandria describes a geometry-optimized Na2TaInC structure. The functional is PBE.

Formation enthalpy at 0 K = 155 kJ per mole of atoms
Total magnetic moment = 0.00 μB/atom
N(E_F) = 0.9969 states/eV/atom
E_tot = -3.69 eV/atom

Cell: 4.6673 4.5891 4.6673 Å, 90.00 90.00 90.00°
Sites, in units of the cell vectors:
C1 0.0000 0.0000 0.0000
Na1 0.0000 0.0000 0.5000
Na2 0.5000 0.0000 0.0000
In1 0.0000 0.5000 0.0000
Ta1 0.5000 0.5000 0.5000

Entry 2:
This record from Alexandria describes a geometry-optimized SrCoC3 structure. The functional is PBE.

Formation enthalpy at 0 K = 153 kJ per mole of atoms
Total magnetic moment = 0.00 μB/atom
N(E_F) = 1.8851 states/eV/atom
E_tot = -5.70 eV/atom

Cell: 3.9353 3.9353 3.9353 Å, 90.00 90.00 90.00°
Sites, in units of the cell vectors:
Co1 0.0000 0.0000 0.0000
Sr1 0.5000 0.5000 0.5000
C1 0.0000 0.0000 0.5000
C2 0.5000 0.0000 0.0000
C3 0.0000 0.5000 0.0000

Entry 3:
This record from Alexandria describes a geometry-optimized YZr2TlP structure. The functional is PBE.

Formation enthalpy at 0 K = 142 kJ per mole of atoms
Total magnetic moment = 0.00 μB/atom
N(E_F) = 1.2250 states/eV/atom
E_tot = -4.79 eV/atom

Cell: 5.2333 5.5617 5.2333 Å, 90.00 90.00 90.00°
Sites, in units of the cell vectors:
P1 0.5000 0.5000 0.5000
Zr1 0.0000 0.0000 0.5000
Zr2 0.5000 0.0000 0.0000
Tl1 0.0000 0.5000 0.0000
Y1 0.0000 0.0000 0.0000

Entry 4:
This record from Alexandria describes a geometry-optimized CdRu2Br structure. The functional is PBE.

Formation energy (no corrections) = 0.766 eV/atom
Relative energy among the computed polymorphs = 486.5 meV/atom
Total magnetic moment = 0.00 μB/atom
N(E_F) = 1.0119 states/eV/atom
E_tot = -4.52 eV/atom

Cell: 3.1395 3.1395 6.7018 Å, 90.00 90.00 90.00°
Sites, in units of the cell vectors:
Br1 0.5000 0.5000 0.2500
Ru1 0.0000 0.0000 0.4784
Ru2 0.0000 0.0000 0.0216
Cd1 0.5000 0.5000 0.7500